! KCu2H2Se2O10 PBE-GGA relaxed; values from VASP
! SG	C2/m
! total DFT energy (no corrections)	-5.0713	eV per atom
&SYSTEM
  ibrav = 0, nat = 17, ntyp = 5
/
ATOMIC_SPECIES
K 39.10 K.upf
Cu 63.55 Cu.upf
H 1.01 H.upf
Se 78.96 Se.upf
O 16.00 O.upf
CELL_PARAMETERS angstrom
5.9794 -3.6048 0.0000
5.9794 3.6048 0.0000
-3.0889 0.0000 6.1554
ATOMIC_POSITIONS angstrom
K 0.0000 0.0000 0.0000
Cu 1.4453 1.8024 3.0777
Cu 1.4453 -1.8024 3.0777
H 2.4707 0.0000 1.8755
H 6.3993 0.0000 4.2799
Se 0.6953 0.0000 5.4330
Se 8.1746 0.0000 0.7224
O -0.7784 0.0000 4.7122
O 1.5891 1.3828 4.9124
O 1.6757 0.0000 2.4981
O 3.8549 0.0000 0.9233
O 7.2809 1.3828 1.2430
O 1.5891 -1.3828 4.9124
O 5.0151 0.0000 5.2322
O 7.1943 0.0000 3.6574
O 7.2809 -1.3828 1.2430
O 9.6484 0.0000 1.4433